GGA-PBE CoTcIr3, relaxed; symmetry = No. 63; E above lowest polymorph = 0 meV per atom; M_tot = 2.8 μB per cell; ΔH_f (0 K) = 343 meV/atom
1.0
1.343 -6.776 0.000
1.343 6.776 0.000
0.000 0.000 8.636
Co Tc Ir
2 2 6
direct
0.055 0.945 0.750
0.945 0.055 0.250
0.281 0.719 0.250
0.719 0.281 0.750
0.165 0.835 0.001
0.165 0.835 0.499
0.404 0.596 0.750
0.596 0.404 0.250
0.835 0.165 0.501
0.835 0.165 0.999

GGA-PBE CoTc2Ir, relaxed; symmetry = No. 122; E above lowest polymorph = 1249 meV per atom; M_tot = 0.0 μB per cell; ΔH_f (0 K) = 1101 meV/atom
1.0
-2.584 2.584 5.766
2.584 -2.584 5.766
2.584 2.584 -5.766
Co Tc Ir
2 4 2
direct
0.000 0.000 0.000
0.750 0.250 0.500
0.095 0.625 0.970
0.375 0.345 0.470
0.655 0.125 0.030
0.875 0.905 0.530
0.250 0.750 0.500
0.500 0.500 0.000

GGA-PBE CoTc2Ir, relaxed; symmetry = No. 65; E above lowest polymorph = 121 meV per atom; M_tot = 0.0 μB per cell; ΔH_f (0 K) = -27 meV/atom
1.0
2.643 -3.857 0.000
2.643 3.857 0.000
0.000 0.000 2.667
Co Tc Ir
1 2 1
direct
0.000 0.000 0.000
0.000 0.500 0.500
0.500 0.000 0.500
0.500 0.500 0.000

GGA-PBE Zr2CoTcIr, relaxed; symmetry = No. 123; M_tot = 0.0 μB per cell; ΔH_f (0 K) = 448 meV/atom
1.0
4.764 0.000 0.000
0.000 4.764 0.000
0.000 0.000 4.241
Zr Co Tc Ir
2 1 1 1
direct
0.000 0.500 0.000
0.500 0.000 0.000
0.000 0.000 0.000
0.000 0.000 0.500
0.500 0.500 0.500

GGA-PBE Co2TeIr, relaxed; symmetry = No. 69; M_tot = 3.1 μB per cell; DFT total energy = -6.22 eV per atom
1.0
0.000 2.773 3.737
2.769 0.000 3.737
2.769 2.773 0.000
Co Te Ir
2 1 1
direct
0.250 0.250 0.250
0.750 0.750 0.750
0.000 0.000 0.000
0.500 0.500 0.500

GGA-PBE CoTeIr2, relaxed; symmetry = No. 10; E above lowest polymorph = 142 meV per atom; M_tot = 1.7 μB per cell
1.0
2.937 0.000 0.000
0.000 4.676 0.000
-0.053 0.000 4.637
Co Te Ir
1 1 2
direct
0.000 0.000 0.000
0.500 0.000 0.500
0.242 0.500 0.761
0.758 0.500 0.239